Record 1
VASP calculation (PBE-GGA) on a relaxed K5Ga2Bi5 crystal.

The structure in CIF format:
```
data_K5Ga2Bi5
_space_group_name_H-M_alt 'P 1'
_space_group_IT_number 1
_cell_length_a 6.121
_cell_length_b 6.121
_cell_length_c 14.387
_cell_angle_alpha 99.91
_cell_angle_beta 99.91
_cell_angle_gamma 62.60
loop_
_space_group_symop_operation_xyz
'x,y,z'
loop_
_atom_site_label
_atom_site_fract_x
_atom_site_fract_y
_atom_site_fract_z
_atom_site_occupancy
K1 0.000 0.000 0.000 1
K2 0.170 0.170 0.567 1
K3 0.268 0.268 0.853 1
K4 0.732 0.732 0.147 1
K5 0.830 0.830 0.433 1
Ga1 0.470 0.470 0.703 1
Ga2 0.530 0.530 0.297 1
Bi1 0.241 0.241 0.292 1
Bi2 0.368 0.368 0.112 1
Bi3 0.500 0.500 0.500 1
Bi4 0.632 0.632 0.888 1
Bi5 0.759 0.759 0.708 1
```

As for the symmetry: No. 12. For the density of states at the Fermi level, the calculation gives 5.7 states/eV/f.u. The calculation puts the volume at 468.8 Å³/cell. For the formation energy from the elements, the calculation gives -0.186 eV per atom. The total moment comes out at 0.00 μB per cell.

=====

Record 2
VASP calculation (PBE-GGA) on a relaxed KGa2Bi2 crystal.

The structure in CIF format:
```
data_KGa2Bi2
_space_group_name_H-M_alt 'P 1'
_space_group_IT_number 1
_cell_length_a 3.816
_cell_length_b 3.816
_cell_length_c 10.318
_cell_angle_alpha 90.00
_cell_angle_beta 90.00
_cell_angle_gamma 90.00
loop_
_space_group_symop_operation_xyz
'x,y,z'
loop_
_atom_site_label
_atom_site_fract_x
_atom_site_fract_y
_atom_site_fract_z
_atom_site_occupancy
K1 0.000 0.000 0.000 1
Ga1 0.000 0.500 0.500 1
Ga2 0.500 0.000 0.500 1
Bi1 0.500 0.500 0.256 1
Bi2 0.500 0.500 0.744 1
```

As for the symmetry: No. 123. For the energy above the most stable polymorph in this dataset, the calculation gives 155 meV per atom. For the density of states at the Fermi level, the calculation gives 2.1 states/eV/f.u. The calculation puts the volume at 150.2 Å³/cell. For the formation energy from the elements, the calculation gives -0.021 eV per atom. The total moment comes out at 0.00 μB per cell.